Record 1
# AlCoCl4

A relaxed structure of AlCoCl4 (PBE-GGA, Alexandria).

Calculated values
E_form (uncorrected) (eV per atom): 0.8338
E_tot (eV per cell): -13.23

```
AlCoCl4
1.0
0.000 4.189 4.189
4.189 0.000 4.189
4.189 4.189 0.000
Al Co Cl
1 1 4
direct
0.000 0.000 0.000
0.750 0.750 0.750
0.873 0.376 0.376
0.376 0.376 0.873
0.376 0.873 0.376
0.376 0.376 0.376
```

Record 2
# SmErPd4

A relaxed structure of SmErPd4 (PBE-GGA, Alexandria).

Calculated values
Energy above the most stable polymorph in this dataset (meV per atom): 0
E_form (eV/atom): -0.80
E_tot (eV per cell): -34.86

```
SmErPd4
1.0
-3.568 0.824 4.050
-5.039 -2.076 -0.337
-1.465 -4.149 3.234
Pd Sm Er
4 1 1
direct
0.625 0.625 0.124
0.625 0.124 0.625
0.625 0.625 0.625
0.124 0.625 0.625
0.250 0.250 0.250
0.000 0.000 0.000
```